{
  "formula": "KOF2",
  "functional": "GGA-PBE",
  "state": "relaxed",
  "sg": "I-42d",
  "de_polymorph_mev_per_atom": 254,
  "dft_energy_ev_per_atom": -3.1977,
  "lattice_angstrom": [[4.646, 0.000, 0.000], [0.000, 4.646, 0.000], [2.323, 2.323, 6.130]],
  "species": ["K", "K", "O", "O", "F", "F", "F", "F"],
  "frac_coords": [[0.000, 0.000, 0.000], [0.750, 0.250, 0.500], [0.500, 0.500, 0.000], [0.250, 0.750, 0.500], [0.475, 0.125, 0.250], [0.275, 0.625, 0.250], [0.375, 0.525, 0.750], [0.875, 0.725, 0.750]]
}

***

{
  "formula": "KOF4",
  "functional": "GGA-PBE",
  "state": "relaxed",
  "sg": "C2/c",
  "dft_energy_ev_per_atom": -3.1270,
  "lattice_angstrom": [[8.782, -1.370, -2.978], [-3.469, 5.827, -2.655], [-1.443, -1.911, 6.877]],
  "species": ["K", "K", "O", "O", "F", "F", "F", "F", "F", "F", "F", "F"],
  "frac_coords": [[0.250, 0.952, 0.048], [0.750, 0.048, 0.952], [0.750, 0.626, 0.374], [0.250, 0.374, 0.626], [0.732, 0.827, 0.433], [0.830, 0.737, 0.824], [0.768, 0.567, 0.173], [0.232, 0.433, 0.827], [0.268, 0.173, 0.567], [0.330, 0.824, 0.737], [0.670, 0.176, 0.263], [0.170, 0.263, 0.176]]
}

***

{
  "formula": "K3O2F",
  "functional": "GGA-PBE",
  "state": "relaxed",
  "sg": "P6_3/mmc",
  "dft_energy_ev_per_atom": -3.9325,
  "lattice_angstrom": [[6.766, 0.000, 0.000], [-3.383, 5.860, 0.000], [0.000, 0.000, 5.763]],
  "species": ["K", "K", "K", "K", "K", "K", "O", "O", "O", "O", "F", "F"],
  "frac_coords": [[0.643, 0.822, 0.250], [0.178, 0.357, 0.250], [0.178, 0.822, 0.250], [0.357, 0.178, 0.750], [0.822, 0.643, 0.750], [0.822, 0.178, 0.750], [0.333, 0.667, 0.883], [0.667, 0.333, 0.383], [0.667, 0.333, 0.117], [0.333, 0.667, 0.617], [0.000, 0.000, 0.000], [0.000, 0.000, 0.500]]
}

***

{
  "formula": "KO3F12",
  "functional": "GGA-PBE",
  "state": "relaxed",
  "sg": "R3c",
  "dft_energy_ev_per_atom": -2.5618,
  "lattice_angstrom": [[-8.246, -3.082, -0.660], [-3.363, -5.023, 6.434], [-7.093, 4.998, 6.251]],
  "species": ["K", "K", "O", "O", "O", "O", "O", "O", "F", "F", "F", "F", "F", "F", "F", "F", "F", "F", "F", "F", "F", "F", "F", "F", "F", "F", "F", "F", "F", "F", "F", "F"],
  "frac_coords": [[0.056, 0.056, 0.832], [0.556, 0.556, 0.332], [0.674, 0.332, 0.012], [0.174, 0.482, 0.512], [0.832, 0.174, 0.512], [0.332, 0.982, 0.012], [0.982, 0.674, 0.012], [0.482, 0.832, 0.512], [0.130, 0.171, 0.003], [0.228, 0.273, 0.625], [0.950, 0.989, 0.517], [0.802, 0.413, 0.837], [0.302, 0.448, 0.337], [0.450, 0.044, 0.017], [0.728, 0.375, 0.125], [0.989, 0.544, 0.517], [0.630, 0.196, 0.503], [0.875, 0.228, 0.625], [0.913, 0.302, 0.337], [0.196, 0.671, 0.503], [0.044, 0.489, 0.017], [0.696, 0.130, 0.003], [0.413, 0.948, 0.837], [0.375, 0.773, 0.125], [0.773, 0.728, 0.125], [0.489, 0.450, 0.017], [0.671, 0.630, 0.503], [0.948, 0.802, 0.837], [0.448, 0.913, 0.337], [0.171, 0.696, 0.003], [0.273, 0.875, 0.625], [0.544, 0.950, 0.517]]
}

***

{
  "formula": "KO2F2",
  "functional": "GGA-PBE",
  "state": "relaxed",
  "sg": "P4/mmm",
  "de_polymorph_mev_per_atom": 1439,
  "dft_energy_ev_per_atom": -2.6658,
  "lattice_angstrom": [[5.000, 0.000, 0.000], [0.000, 5.000, 0.000], [0.000, 0.000, 5.432]],
  "species": ["K", "O", "O", "F", "F"],
  "frac_coords": [[0.000, 0.000, 0.000], [0.500, 0.500, 0.500], [0.000, 0.000, 0.500], [0.000, 0.500, 0.000], [0.500, 0.000, 0.000]]
}

***

{
  "formula": "KO12F7",
  "functional": "GGA-PBE",
  "state": "relaxed",
  "sg": "R-3",
  "dft_energy_ev_per_atom": -2.6030,
  "lattice_angstrom": [[-1.483, 2.876, -6.092], [-5.461, -3.832, 1.754], [0.351, 5.148, 4.579]],
  "species": ["K", "O", "O", "O", "O", "O", "O", "O", "O", "O", "O", "O", "O", "F", "F", "F", "F", "F", "F", "F"],
  "frac_coords": [[0.000, 0.000, 0.000], [0.612, 0.206, 0.355], [0.645, 0.388, 0.794], [0.011, 0.572, 0.664], [0.336, 0.989, 0.428], [0.794, 0.645, 0.388], [0.428, 0.336, 0.989], [0.572, 0.664, 0.011], [0.206, 0.355, 0.612], [0.664, 0.011, 0.572], [0.989, 0.428, 0.336], [0.355, 0.612, 0.206], [0.388, 0.794, 0.645], [0.358, 0.905, 0.122], [0.878, 0.642, 0.095], [0.095, 0.878, 0.642], [0.500, 0.500, 0.500], [0.905, 0.122, 0.358], [0.122, 0.358, 0.905], [0.642, 0.095, 0.878]]
}

***

{
  "formula": "K6O2F3",
  "functional": "GGA-PBE",
  "state": "relaxed",
  "sg": "R-3m",
  "dft_energy_ev_per_atom": -3.8839,
  "lattice_angstrom": [[-2.519, 2.257, 2.109], [0.816, 0.879, 3.801], [8.327, 15.986, -3.394]],
  "species": ["K", "K", "K", "K", "K", "K", "O", "O", "F", "F", "F"],
  "frac_coords": [[0.917, 0.917, 0.249], [0.083, 0.083, 0.751], [0.801, 0.801, 0.596], [0.199, 0.199, 0.404], [0.639, 0.639, 0.083], [0.361, 0.361, 0.917], [0.550, 0.550, 0.349], [0.450, 0.450, 0.651], [0.000, 0.000, 0.000], [0.722, 0.722, 0.834], [0.278, 0.278, 0.166]]
}

***

{
  "formula": "KOF2",
  "functional": "GGA-PBE",
  "state": "relaxed",
  "sg": "R-3m",
  "de_polymorph_mev_per_atom": 620,
  "dft_energy_ev_per_atom": -2.8320,
  "lattice_angstrom": [[2.153, 0.000, 6.711], [-1.077, 1.865, 6.711], [-1.077, -1.865, 6.711]],
  "species": ["K", "O", "F", "F"],
  "frac_coords": [[0.000, 0.000, 0.000], [0.500, 0.500, 0.500], [0.885, 0.885, 0.885], [0.115, 0.115, 0.115]]
}

***

{
  "formula": "KOF5",
  "functional": "GGA-PBE",
  "state": "relaxed",
  "sg": "Imm2",
  "dft_energy_ev_per_atom": -2.7918,
  "lattice_angstrom": [[6.753, 0.000, 3.537], [3.516, 3.918, 1.502], [1.560, -0.329, 5.237]],
  "species": ["K", "O", "F", "F", "F", "F", "F"],
  "frac_coords": [[0.558, 0.442, 0.442], [0.062, 0.438, 0.438], [0.030, 0.760, 0.179], [0.339, 0.161, 0.161], [0.030, 0.179, 0.760], [0.536, 0.744, 0.744], [0.975, 0.744, 0.744]]
}

***

{
  "formula": "K6O2F",
  "functional": "GGA-PBE",
  "state": "relaxed",
  "sg": "C2/m",
  "de_polymorph_mev_per_atom": 0,
  "dft_energy_ev_per_atom": -3.3239,
  "lattice_angstrom": [[-1.067, 2.329, -3.121], [7.615, -1.635, -1.210], [-8.633, -8.035, -3.044]],
  "species": ["K", "K", "K", "K", "K", "K", "O", "O", "F"],
  "frac_coords": [[0.032, 0.064, 0.746], [0.705, 0.409, 0.071], [0.295, 0.591, 0.929], [0.640, 0.281, 0.605], [0.360, 0.719, 0.395], [0.968, 0.936, 0.254], [0.660, 0.320, 0.825], [0.340, 0.680, 0.175], [0.000, 0.000, 0.500]]
}

***

{
  "formula": "K2OF3",
  "functional": "GGA-PBE",
  "state": "relaxed",
  "sg": "P-1",
  "dft_energy_ev_per_atom": -3.9702,
  "lattice_angstrom": [[-5.026, -0.539, 1.713], [4.220, -5.223, 1.619], [1.602, 5.824, 4.889]],
  "species": ["K", "K", "K", "K", "O", "O", "F", "F", "F", "F", "F", "F"],
  "frac_coords": [[0.509, 0.043, 0.740], [0.491, 0.957, 0.260], [0.217, 0.385, 0.609], [0.783, 0.615, 0.391], [0.060, 0.083, 0.067], [0.940, 0.917, 0.933], [0.487, 0.239, 0.091], [0.981, 0.003, 0.701], [0.315, 0.674, 0.435], [0.685, 0.326, 0.565], [0.019, 0.997, 0.299], [0.513, 0.761, 0.909]]
}

***

{
  "formula": "KO6F12",
  "functional": "GGA-PBE",
  "state": "relaxed",
  "sg": "R-3",
  "dft_energy_ev_per_atom": -2.7738,
  "lattice_angstrom": [[6.568, 0.863, -0.843], [-1.058, 6.539, -0.843], [0.642, 0.863, 6.591]],
  "species": ["K", "O", "O", "O", "O", "O", "O", "F", "F", "F", "F", "F", "F", "F", "F", "F", "F", "F", "F"],
  "frac_coords": [[0.000, 0.000, 0.000], [0.264, 0.408, 0.424], [0.592, 0.576, 0.736], [0.576, 0.736, 0.592], [0.736, 0.592, 0.576], [0.408, 0.424, 0.264], [0.424, 0.264, 0.408], [0.635, 0.018, 0.760], [0.018, 0.760, 0.635], [0.760, 0.635, 0.018], [0.365, 0.982, 0.240], [0.982, 0.240, 0.365], [0.240, 0.365, 0.982], [0.219, 0.882, 0.666], [0.334, 0.781, 0.118], [0.118, 0.334, 0.781], [0.781, 0.118, 0.334], [0.666, 0.219, 0.882], [0.882, 0.666, 0.219]]
}

***

{
  "formula": "K3O2F2",
  "functional": "GGA-PBE",
  "state": "relaxed",
  "sg": "C2/m",
  "dft_energy_ev_per_atom": -4.2600,
  "lattice_angstrom": [[5.106, -0.908, -0.782], [-1.147, 4.006, -0.667], [-0.560, 0.087, 8.113]],
  "species": ["K", "K", "K", "O", "O", "F", "F"],
  "frac_coords": [[0.000, 0.000, 0.000], [0.335, 0.334, 0.670], [0.665, 0.666, 0.330], [0.554, 0.176, 0.000], [0.446, 0.824, 0.000], [0.169, 0.168, 0.338], [0.831, 0.832, 0.662]]
}

***

{
  "formula": "K5O2F2",
  "functional": "GGA-PBE",
  "state": "relaxed",
  "sg": "P2/m",
  "dft_energy_ev_per_atom": -3.7938,
  "lattice_angstrom": [[5.136, 0.000, -1.593], [0.000, 5.435, 0.001], [-0.130, 0.000, 8.681]],
  "species": ["K", "K", "K", "K", "K", "O", "O", "F", "F"],
  "frac_coords": [[0.680, 0.000, 0.361], [0.320, 0.000, 0.639], [0.830, 0.500, 0.659], [0.170, 0.500, 0.341], [0.000, 0.000, 0.000], [0.856, 0.000, 0.711], [0.144, 0.000, 0.289], [0.670, 0.500, 0.341], [0.330, 0.500, 0.659]]
}

***

{
  "formula": "KO2F2",
  "functional": "GGA-PBE",
  "state": "relaxed",
  "sg": "P4/mmm",
  "de_polymorph_mev_per_atom": 716,
  "dft_energy_ev_per_atom": -3.3890,
  "lattice_angstrom": [[4.512, 0.000, 0.000], [0.000, 4.512, 0.000], [0.000, 0.000, 3.220]],
  "species": ["K", "O", "O", "F", "F"],
  "frac_coords": [[0.500, 0.500, 0.500], [0.000, 0.000, 0.000], [0.000, 0.000, 0.500], [0.000, 0.500, 0.000], [0.500, 0.000, 0.000]]
}

***

{
  "formula": "KOF2",
  "functional": "GGA-PBE",
  "state": "relaxed",
  "sg": "Immm",
  "de_polymorph_mev_per_atom": 209,
  "dft_energy_ev_per_atom": -3.2433,
  "lattice_angstrom": [[5.018, 0.000, 1.003], [2.191, 3.381, 2.090], [1.778, 0.375, 4.160]],
  "species": ["K", "O", "F", "F"],
  "frac_coords": [[0.750, 0.750, 0.750], [0.250, 0.250, 0.250], [0.041, 0.959, 0.959], [0.459, 0.541, 0.541]]
}

***

{
  "formula": "KO3F3",
  "functional": "GGA-PBE",
  "state": "relaxed",
  "sg": "R-3m",
  "dft_energy_ev_per_atom": -3.3634,
  "lattice_angstrom": [[-2.502, 1.079, 4.621], [-3.739, -3.360, 1.874], [5.254, -6.021, 7.365]],
  "species": ["K", "K", "O", "O", "O", "O", "O", "O", "F", "F", "F", "F", "F", "F"],
  "frac_coords": [[0.704, 0.704, 0.889], [0.296, 0.296, 0.111], [0.229, 0.229, 0.584], [0.958, 0.229, 0.584], [0.229, 0.958, 0.584], [0.771, 0.042, 0.416], [0.042, 0.771, 0.416], [0.771, 0.771, 0.416], [0.240, 0.652, 0.867], [0.652, 0.240, 0.867], [0.240, 0.240, 0.867], [0.760, 0.760, 0.133], [0.348, 0.760, 0.133], [0.760, 0.348, 0.133]]
}

***

{
  "formula": "KOF2",
  "functional": "GGA-PBE",
  "state": "relaxed",
  "sg": "Fm-3m",
  "de_polymorph_mev_per_atom": 238,
  "dft_energy_ev_per_atom": -3.2136,
  "lattice_angstrom": [[3.891, 1.852, 0.550], [0.731, 2.535, 3.451], [2.625, -1.365, 3.181]],
  "species": ["K", "O", "F", "F"],
  "frac_coords": [[0.500, 0.500, 0.500], [0.000, 0.000, 0.000], [0.250, 0.250, 0.250], [0.750, 0.750, 0.750]]
}

***

{
  "formula": "K5OF4",
  "functional": "GGA-PBE",
  "state": "relaxed",
  "sg": "I4/m",
  "dft_energy_ev_per_atom": -4.0956,
  "lattice_angstrom": [[-1.938, 4.393, 2.509], [-6.507, -0.396, 1.516], [0.444, -0.275, 6.673]],
  "species": ["K", "K", "K", "K", "K", "O", "F", "F", "F", "F"],
  "frac_coords": [[0.898, 0.408, 0.798], [0.306, 0.798, 0.592], [0.696, 0.202, 0.408], [0.104, 0.592, 0.202], [0.501, 0.000, 0.000], [0.001, 0.000, 0.000], [0.402, 0.397, 0.802], [0.798, 0.802, 0.603], [0.204, 0.198, 0.397], [0.600, 0.603, 0.198]]
}

***

{
  "formula": "KO2F8",
  "functional": "GGA-PBE",
  "state": "relaxed",
  "sg": "C2/c",
  "dft_energy_ev_per_atom": -2.8356,
  "lattice_angstrom": [[4.470, 0.000, 1.973], [2.523, 6.714, 0.334], [-2.194, -2.346, 11.022]],
  "species": ["K", "K", "O", "O", "O", "O", "F", "F", "F", "F", "F", "F", "F", "F", "F", "F", "F", "F", "F", "F", "F", "F"],
  "frac_coords": [[0.236, 0.750, 0.250], [0.764, 0.250, 0.750], [0.971, 0.806, 0.954], [0.268, 0.306, 0.454], [0.732, 0.694, 0.546], [0.029, 0.194, 0.046], [0.413, 0.749, 0.571], [0.874, 0.177, 0.162], [0.703, 0.857, 0.205], [0.088, 0.070, 0.485], [0.297, 0.143, 0.795], [0.644, 0.430, 0.015], [0.912, 0.930, 0.515], [0.234, 0.357, 0.705], [0.356, 0.570, 0.985], [0.734, 0.751, 0.929], [0.787, 0.677, 0.662], [0.213, 0.323, 0.338], [0.266, 0.249, 0.071], [0.766, 0.643, 0.295], [0.587, 0.251, 0.429], [0.126, 0.823, 0.838]]
}

***

{
  "formula": "KO2F2",
  "functional": "GGA-PBE",
  "state": "relaxed",
  "sg": "I4/mmm",
  "de_polymorph_mev_per_atom": 1072,
  "dft_energy_ev_per_atom": -3.0327,
  "lattice_angstrom": [[-2.410, 1.279, -1.219], [0.616, -1.324, -2.607], [-4.775, -5.536, -0.030]],
  "species": ["K", "O", "O", "F", "F"],
  "frac_coords": [[0.000, 0.000, 0.000], [0.750, 0.250, 0.500], [0.250, 0.750, 0.500], [0.391, 0.391, 0.218], [0.609, 0.609, 0.782]]
}